Entry 1:
4
Lattice="-0.245 4.201 -2.409 -1.163 -2.392 -4.054 -6.617 0.526 1.589" Properties=species:S:1:pos:R:3 comment="Ba2SbAu, relaxed, DFT GGA-PBEsol" rho_g_cm3=6.1 dos_ef_per_ev_fu=1.7 e_tot_ev_per_atom=-3.901 magmom_total_mub_per_fu=0.00 space_group="P4/mmm (123)" formation_energy_uncorrected_mev_per_atom=-707 pbc="T T T"
Au -4.013 1.167 -2.437
Ba -3.309 0.263 0.794
Ba -0.704 0.905 -3.232
Sb 0.000 0.000 0.000

Entry 2:
4
Lattice="3.362 0.011 0.000 -0.898 3.240 0.000 0.000 0.000 10.387" Properties=species:S:1:pos:R:3 comment="Tl2SbPb, relaxed, DFT GGA-PBEsol" rho_g_cm3=10.8 dos_ef_per_ev_fu=2.0 e_tot_ev_per_atom=-3.411 magmom_total_mub_per_fu=0.00 space_group="Cmm2 (35)" e_above_lowest_polymorph_mev_per_atom=40 formation_energy_uncorrected_mev_per_atom=43 pbc="T T T"
Pb 0.000 0.000 5.110
Sb 1.232 1.625 2.598
Tl 0.000 0.000 0.074
Tl 1.232 1.625 7.798

Entry 3:
4
Lattice="-2.268 2.071 1.580 -2.600 -2.133 -0.937 0.622 -2.189 3.763" Properties=species:S:1:pos:R:3 comment="Be2AlP, relaxed, DFT GGA-PBEsol" rho_g_cm3=2.4 dos_ef_per_ev_fu=1.0 e_tot_ev_per_atom=-4.290 ef_ev_per_atom=0.181 magmom_total_mub_per_fu=0.00 space_group="P2/m (10)" e_above_lowest_polymorph_mev_per_atom=0 pbc="T T T"
P -0.823 -0.059 2.671
Al -2.434 -0.031 0.321
Be 0.118 -0.528 0.862
Be -2.096 -3.794 1.964

Entry 4:
6
Lattice="5.989 0.000 0.000 2.995 5.187 0.000 2.995 1.729 4.890" Properties=species:S:1:pos:R:3 comment="CaSc4Cd, relaxed, DFT GGA-PBEsol" rho_g_cm3=3.6 dos_ef_per_ev_fu=7.9 e_tot_ev_per_atom=-4.758 ef_ev_per_atom=0.200 magmom_total_mub_per_fu=0.00 space_group="F-43m (216)" pbc="T T T"
Ca 8.984 5.187 3.668
Cd 0.000 0.000 0.000
Sc 4.481 2.587 1.829
Sc 5.989 3.458 4.292
Sc 7.497 2.587 1.829
Sc 5.989 5.199 1.829

Entry 5:
8
Lattice="-2.736 1.597 -3.318 -2.449 -1.648 3.511 2.628 3.341 1.725" Properties=species:S:1:pos:R:3 comment="ZrBC2, relaxed, DFT GGA-PBEsol" rho_g_cm3=5.6 dos_ef_per_ev_fu=0.8 e_tot_ev_per_atom=-8.778 ef_ev_per_atom=0.070 magmom_total_mub_per_fu=0.00 space_group="I-42d (122)" pbc="T T T"
C -3.440 0.989 -0.926
C 0.838 1.877 1.536
C -1.311 1.908 0.152
C -1.201 1.805 3.076
B 0.089 0.847 2.618
B -0.009 2.892 0.513
Zr 0.000 0.000 0.000
Zr -2.548 0.398 1.406

Entry 6:
6
Lattice="4.954 0.000 0.000 2.477 4.291 0.000 2.477 1.430 4.045" Properties=species:S:1:pos:R:3 comment="CaNi4Pb, relaxed, DFT GGA-PBEsol" rho_g_cm3=9.3 dos_ef_per_ev_fu=4.6 e_tot_ev_per_atom=-5.240 ef_ev_per_atom=-0.113 magmom_total_mub_per_fu=0.00 space_group="F-43m (216)" pbc="T T T"
Ca 0.000 0.000 0.000
Ni 3.721 2.148 1.519
Ni 4.954 2.860 3.533
Ni 6.188 2.148 1.519
Ni 4.954 4.284 1.519
Pb 7.432 4.291 3.034

Entry 7:
4
Lattice="3.367 0.000 0.000 1.684 2.916 0.000 1.684 0.972 8.212" Properties=species:S:1:pos:R:3 comment="In2AsRh, relaxed, DFT GGA-PBEsol" rho_g_cm3=8.4 dos_ef_per_ev_fu=2.1 e_tot_ev_per_atom=-4.957 ef_ev_per_atom=-0.155 magmom_total_mub_per_fu=0.00 space_group="R3m (160)" pbc="T T T"
As 1.684 0.972 2.463
Rh 3.367 1.944 3.876
In 5.051 2.916 0.106
In 5.051 2.916 5.872

Entry 8:
6
Lattice="-0.445 3.714 -2.638 1.669 -3.877 -1.770 -6.479 -2.002 -1.725" Properties=species:S:1:pos:R:3 comment="ErZnIn, relaxed, DFT GGA-PBEsol" rho_g_cm3=9.1 dos_ef_per_ev_fu=2.4 e_tot_ev_per_atom=-3.616 ef_ev_per_atom=-0.452 magmom_total_mub_per_fu=0.00 space_group="P6_3/mmc (194)" pbc="T T T"
Zn -3.895 -2.848 -3.353
Zn -1.360 0.683 -2.780
In -0.656 -1.847 -2.490
In -4.600 -0.318 -3.642
Er 0.000 0.000 0.000
Er -3.240 -1.001 -0.863

Entry 9:
8
Lattice="-4.397 -1.571 1.170 0.066 -2.992 -3.771 4.395 -1.623 4.437" Properties=species:S:1:pos:R:3 comment="CaNbO2, relaxed, DFT GGA-PBEsol" rho_g_cm3=4.3 dos_ef_per_ev_fu=3.1 e_tot_ev_per_atom=-7.716 magmom_total_mub_per_fu=1.55 space_group="I-42d (122)" e_above_lowest_polymorph_mev_per_atom=0 formation_energy_uncorrected_mev_per_atom=-1853 pbc="T T T"
Nb 1.148 -3.448 -0.318
Nb 0.000 0.000 0.000
Ca -1.084 -2.738 2.153
Ca -2.166 -2.281 -1.301
O -3.006 -3.003 0.794
O -0.211 -3.512 -1.827
O 0.593 -4.260 1.460
O 2.751 -1.596 3.244

Entry 10:
4
Lattice="-1.407 -1.704 3.248 -3.235 -2.220 -0.191 0.261 -3.894 0.446" Properties=species:S:1:pos:R:3 comment="Be2CuTc, relaxed, DFT GGA-PBEsol" rho_g_cm3=7.0 dos_ef_per_ev_fu=4.5 e_tot_ev_per_atom=-5.661 ef_ev_per_atom=0.239 magmom_total_mub_per_fu=0.00 space_group="F-43m (216)" e_above_lowest_polymorph_mev_per_atom=308 pbc="T T T"
Be 0.000 0.000 0.000
Be -3.286 -5.863 2.627
Tc -1.095 -1.954 0.876
Cu -2.191 -3.909 1.751

Entry 11:
4
Lattice="-2.131 0.766 1.935 0.416 -0.425 2.919 4.309 11.325 2.554" Properties=species:S:1:pos:R:3 comment="WSe2I, relaxed, DFT GGA-PBEsol" rho_g_cm3=8.3 dos_ef_per_ev_fu=3.8 e_tot_ev_per_atom=-5.179 magmom_total_mub_per_fu=0.00 space_group="R-3m (166)" formation_energy_uncorrected_mev_per_atom=639 pbc="T T T"
I 1.297 5.833 3.704
Se -0.725 2.617 5.043
Se 3.318 9.050 2.364
W 0.000 0.000 0.000

Entry 12:
6
Lattice="5.437 0.000 0.000 2.718 4.708 0.000 2.718 1.569 4.439" Properties=species:S:1:pos:R:3 comment="Ta4SiBr, relaxed, DFT GGA-PBEsol" rho_g_cm3=12.2 dos_ef_per_ev_fu=6.1 e_tot_ev_per_atom=-8.801 magmom_total_mub_per_fu=0.00 space_group="F-43m (216)" formation_energy_uncorrected_mev_per_atom=835 pbc="T T T"
Br 8.155 4.708 3.329
Si 0.000 0.000 0.000
Ta 4.073 2.352 1.663
Ta 5.437 3.139 3.890
Ta 6.801 2.352 1.663
Ta 5.437 4.714 1.663

Entry 13:
5
Lattice="-2.537 -4.852 -0.157 2.762 -1.588 4.456 -3.992 1.985 3.182" Properties=species:S:1:pos:R:3 comment="Na3TcSb, relaxed, DFT GGA-PBEsol" rho_g_cm3=2.9 dos_ef_per_ev_fu=7.4 e_tot_ev_per_atom=-2.654 magmom_total_mub_per_fu=4.29 space_group="Pm-3m (221)" formation_energy_uncorrected_mev_per_atom=1350 pbc="T T T"
Sb -1.884 -2.228 3.741
Tc 0.000 0.000 0.000
Na 1.381 -0.794 2.228
Na -1.996 0.992 1.591
Na -1.269 -2.426 -0.078

Entry 14:
3
Lattice="-2.530 -2.748 1.689 1.526 -3.162 2.117 -0.445 -0.146 4.073" Properties=species:S:1:pos:R:3 comment="ZnRhAu, relaxed, DFT GGA-PBEsol" rho_g_cm3=12.5 dos_ef_per_ev_fu=1.9 e_tot_ev_per_atom=-4.453 ef_ev_per_atom=0.095 magmom_total_mub_per_fu=0.00 space_group="F-43m (216)" pbc="T T T"
Au 0.000 0.000 0.000
Rh -0.724 -3.028 3.939
Zn -0.362 -1.514 1.970